A geometry-optimized Mo3Br6O structure. Source: Alexandria via LeMat-Bulk, functional GGA+U.

**Symmetry**: I4/m (87)
**DFT total energy**: -79.76 eV per cell

abc: 9.824 9.824 9.824
angles: 109.94 109.94 108.54
Element x y z (fractional)
Mo  0.092  0.201  0.293
Mo  0.185  0.185  0.000
Mo  0.201  0.908  0.108
Mo  0.799  0.092  0.892
Mo  0.815  0.815  0.000
Mo  0.908  0.799  0.707
Br  0.065  0.923  0.307
Br  0.077  0.384  0.142
Br  0.188  0.407  0.595
Br  0.242  0.935  0.858
Br  0.384  0.242  0.307
Br  0.407  0.812  0.219
Br  0.593  0.188  0.781
Br  0.616  0.758  0.693
Br  0.758  0.065  0.142
Br  0.812  0.593  0.405
Br  0.923  0.616  0.858
Br  0.935  0.077  0.693
O  0.334  0.334  0.000
O  0.666  0.666  0.000